[1]
! ZnHg2P (PBEsol, relaxed); values from VASP
&SYSTEM
  ibrav = 0, nat = 4, ntyp = 3
/
ATOMIC_SPECIES
Zn 65.41 Zn.upf
Hg 200.59 Hg.upf
P 30.97 P.upf
ATOMIC_POSITIONS crystal
Zn 0.000 0.000 0.000
Hg 0.500 0.500 0.250
Hg 0.500 0.500 0.750
P 0.000 0.000 0.500
CELL_PARAMETERS angstrom
3.805 0.000 0.000
0.000 3.805 0.000
0.000 0.000 5.363
! electronic total energy	-1.7921	eV per atom
! DFT formation energy	335	meV/atom
! crystal system	tetragonal

***

[2]
! Zn2HgP (PBEsol, relaxed); values from VASP
&SYSTEM
  ibrav = 0, nat = 4, ntyp = 3
/
ATOMIC_SPECIES
Zn 65.41 Zn.upf
Hg 200.59 Hg.upf
P 30.97 P.upf
ATOMIC_POSITIONS crystal
Zn 0.000 0.000 0.000
Zn 0.500 0.500 0.364
Hg 0.000 0.000 0.546
P 0.500 0.500 0.987
CELL_PARAMETERS angstrom
3.478 0.000 0.000
0.000 3.478 0.000
0.000 0.000 6.187
! electronic total energy	-2.2273	eV per atom
! DFT formation energy	153	meV/atom
! crystal system	tetragonal

***

[3]
! Zn2HgP (PBEsol, relaxed); values from VASP
&SYSTEM
  ibrav = 0, nat = 4, ntyp = 3
/
ATOMIC_SPECIES
Zn 65.41 Zn.upf
Hg 200.59 Hg.upf
P 30.97 P.upf
ATOMIC_POSITIONS crystal
Zn 0.000 0.000 0.000
Zn 0.250 0.250 0.250
Hg 0.750 0.750 0.750
P 0.500 0.500 0.500
CELL_PARAMETERS angstrom
0.000 3.259 3.259
3.259 0.000 3.259
3.259 3.259 0.000
! electronic total energy	-2.0111	eV per atom
! DFT formation energy	369	meV/atom
! crystal system	cubic